# 1
{
  "formula": "TbLuZn2Si2",
  "functional": "PBE",
  "state": "relaxed",
  "cell": [[-2.187, 3.116, 1.568], [-1.110, -1.696, -3.584], [-9.077, -10.219, 7.648]],
  "species": ["Lu", "Lu", "Si", "Si", "Si", "Si", "Tb", "Tb", "Zn", "Zn", "Zn", "Zn"],
  "fractional_positions": [[0.000, 0.000, 0.250], [0.000, 0.000, 0.750], [0.667, 0.333, 0.122], [0.667, 0.333, 0.378], [0.333, 0.667, 0.622], [0.333, 0.667, 0.878], [0.000, 0.000, 0.000], [0.000, 0.000, 0.500], [0.333, 0.667, 0.140], [0.333, 0.667, 0.360], [0.667, 0.333, 0.640], [0.667, 0.333, 0.860]],
  "e_above_lowest_polymorph_mev_per_atom": 0,
  "spacegroup": "P6_3/mmc (194)",
  "e_tot_ev_per_atom": -4.3659
}


# 2
{
  "formula": "MgZrBIr",
  "functional": "PBE",
  "state": "relaxed",
  "cell": [[-0.712, -3.943, 1.711], [-2.926, -2.667, -1.818], [1.326, -3.567, -2.121]],
  "species": ["B", "Ir", "Mg", "Zr"],
  "fractional_positions": [[0.500, 0.500, 0.500], [0.250, 0.250, 0.250], [0.750, 0.750, 0.750], [0.000, 0.000, 0.000]],
  "e_above_lowest_polymorph_mev_per_atom": 120,
  "spacegroup": "F-43m (216)",
  "e_tot_ev_per_atom": -6.3434
}


# 3
{
  "formula": "LuCoCuGe",
  "functional": "PBE",
  "state": "relaxed",
  "cell": [[3.811, -0.919, -2.073], [2.092, -3.828, 0.799], [0.125, -3.151, -3.117]],
  "species": ["Co", "Cu", "Ge", "Lu"],
  "fractional_positions": [[0.750, 0.750, 0.750], [0.500, 0.500, 0.500], [0.000, 0.000, 0.000], [0.250, 0.250, 0.250]],
  "e_above_lowest_polymorph_mev_per_atom": 64,
  "spacegroup": "F-43m (216)",
  "e_tot_ev_per_atom": -5.1753
}


# 4
{
  "formula": "PrCo2GeAs",
  "functional": "PBE",
  "state": "relaxed",
  "cell": [[-2.046, 2.046, 5.039], [2.046, -2.046, 5.039], [2.046, 2.046, -5.039]],
  "species": ["As", "Co", "Co", "Ge", "Pr"],
  "fractional_positions": [[0.635, 0.635, 0.000], [0.750, 0.250, 0.500], [0.250, 0.750, 0.500], [0.365, 0.365, 0.000], [0.001, 0.001, 0.000]],
  "spacegroup": "I4mm (107)",
  "e_tot_ev_per_atom": -6.3238
}


# 5
{
  "formula": "Tm2Fe2B4Ir3",
  "functional": "PBE",
  "state": "relaxed",
  "cell": [[0.000, 4.742, 5.695], [2.672, 0.000, 5.695], [2.672, 4.742, 0.000]],
  "species": ["B", "B", "B", "B", "Fe", "Fe", "Ir", "Ir", "Ir", "Tm", "Tm"],
  "fractional_positions": [[0.459, 0.791, 0.209], [0.209, 0.541, 0.459], [0.791, 0.459, 0.541], [0.541, 0.209, 0.791], [0.500, 0.500, 0.000], [0.000, 0.000, 0.500], [0.250, 0.250, 0.250], [0.500, 0.500, 0.500], [0.750, 0.750, 0.750], [0.863, 0.863, 0.137], [0.137, 0.137, 0.863]],
  "spacegroup": "Fmmm (69)",
  "e_tot_ev_per_atom": -7.7834
}


# 6
{
  "formula": "SmBe3Zn2",
  "functional": "PBE",
  "state": "relaxed",
  "cell": [[5.049, 0.000, 0.000], [-2.524, 4.372, 0.000], [0.000, 0.000, 3.854]],
  "species": ["Be", "Be", "Be", "Sm", "Zn", "Zn"],
  "fractional_positions": [[0.500, 0.000, 0.500], [0.000, 0.500, 0.500], [0.500, 0.500, 0.500], [0.000, 0.000, 0.000], [0.667, 0.333, 0.000], [0.333, 0.667, 0.000]],
  "spacegroup": "P6/mmm (191)",
  "e_tot_ev_per_atom": -3.1765
}


# 7
{
  "formula": "TbHg2",
  "functional": "PBE",
  "state": "relaxed",
  "cell": [[4.930, 0.000, 0.000], [-2.465, 4.270, 0.000], [0.000, 0.000, 3.378]],
  "species": ["Hg", "Hg", "Tb"],
  "fractional_positions": [[0.667, 0.333, 0.500], [0.333, 0.667, 0.500], [0.000, 0.000, 0.000]],
  "formation_enthalpy_0k_ev_per_atom": -0.39,
  "spacegroup": "P6/mmm (191)",
  "e_tot_ev_per_atom": -2.1352
}


# 8
{
  "formula": "LiThInTe3",
  "functional": "PBE",
  "state": "relaxed",
  "cell": [[2.261, -7.497, 0.000], [2.261, 7.497, 0.000], [0.000, 0.000, 11.836]],
  "species": ["In", "In", "Li", "Li", "Te", "Te", "Te", "Te", "Te", "Te", "Th", "Th"],
  "fractional_positions": [[0.754, 0.246, 0.250], [0.246, 0.754, 0.750], [0.037, 0.963, 0.250], [0.963, 0.037, 0.750], [0.138, 0.862, 0.057], [0.427, 0.573, 0.250], [0.138, 0.862, 0.443], [0.862, 0.138, 0.557], [0.573, 0.427, 0.750], [0.862, 0.138, 0.943], [0.500, 0.500, 0.000], [0.500, 0.500, 0.500]],
  "spacegroup": "Cmcm (63)",
  "e_tot_ev_per_atom": -4.4723
}


# 9
{
  "formula": "Cs2Na2ZnP2",
  "functional": "PBE",
  "state": "relaxed",
  "cell": [[2.643, 1.526, 9.943], [-2.643, 1.526, 9.943], [0.000, -3.052, 9.943]],
  "species": ["Cs", "Cs", "Na", "Na", "P", "P", "Zn"],
  "fractional_positions": [[0.208, 0.208, 0.208], [0.792, 0.792, 0.792], [0.381, 0.381, 0.381], [0.619, 0.619, 0.619], [0.074, 0.074, 0.074], [0.926, 0.926, 0.926], [0.000, 0.000, 0.000]],
  "e_above_lowest_polymorph_mev_per_atom": 0,
  "spacegroup": "R-3m (166)",
  "e_tot_ev_per_atom": -2.6769
}


# 10
{
  "formula": "CuNiPbS3",
  "functional": "PBE",
  "state": "relaxed",
  "cell": [[1.211, 3.888, -5.016], [-4.363, -2.469, 4.076], [1.547, 7.576, 6.245]],
  "species": ["Cu", "Cu", "Ni", "Ni", "Pb", "Pb", "S", "S", "S", "S", "S", "S"],
  "fractional_positions": [[0.111, 0.889, 0.250], [0.889, 0.111, 0.750], [0.500, 0.500, 0.000], [0.500, 0.500, 0.500], [0.797, 0.203, 0.250], [0.203, 0.797, 0.750], [0.116, 0.884, 0.025], [0.470, 0.530, 0.250], [0.116, 0.884, 0.475], [0.884, 0.116, 0.525], [0.530, 0.470, 0.750], [0.884, 0.116, 0.975]],
  "spacegroup": "Cmcm (63)",
  "e_tot_ev_per_atom": -4.4519
}


# 11
{
  "formula": "ErHfAg4",
  "functional": "PBE",
  "state": "relaxed",
  "cell": [[3.604, 0.000, 0.000], [0.000, 3.604, 0.000], [0.000, 0.000, 9.077]],
  "species": ["Ag", "Ag", "Ag", "Ag", "Er", "Hf"],
  "fractional_positions": [[0.000, 0.000, 0.162], [0.500, 0.500, 0.323], [0.500, 0.500, 0.677], [0.000, 0.000, 0.838], [0.000, 0.000, 0.500], [0.500, 0.500, 0.000]],
  "formation_enthalpy_0k_ev_per_atom": -0.17,
  "spacegroup": "P4/mmm (123)",
  "e_tot_ev_per_atom": -4.4748
}


# 12
{
  "formula": "LaHoAl",
  "functional": "PBE",
  "state": "relaxed",
  "cell": [[-4.128, -2.897, -0.272], [-3.816, 0.732, 3.225], [-4.355, 1.958, -1.644]],
  "species": ["Al", "Ho", "La"],
  "fractional_positions": [[0.000, 0.000, 0.000], [0.750, 0.750, 0.750], [0.500, 0.500, 0.500]],
  "e_above_lowest_polymorph_mev_per_atom": 0,
  "spacegroup": "F-43m (216)",
  "e_tot_ev_per_atom": -4.0495
}